Record 1
CuTeBr: optimized geometry, PBE.

It has space group Cm (No. 8), with a = 14.548 Å, b = 3.654 Å, c = 6.436 Å, α = 90.00°, β = 102.15° and γ = 90.00°. Symmetry generates all atoms from Cu at (0.000, 0.000, 0.000), Cu at (0.138, 0.500, 0.579), Te at (0.268, 0.000, 0.566), Te at (0.367, 0.000, 0.975), Br at (0.021, 0.000, 0.437) and Br at (0.115, 0.500, 0.977).

Its formation energy (no corrections) is -0.1752 eV/atom. The density of states at the Fermi level is 6.008 states/eV/cell.

=====

Record 2
CdMoOs2: optimized geometry, PBE.

It has space group C2/m (No. 12), with a = 9.396 Å, b = 2.819 Å, c = 4.980 Å, α = 90.00°, β = 101.34° and γ = 90.00°. Symmetry generates all atoms from Cd at (0.000, 0.000, 0.000), Mo at (0.000, 0.500, 0.500) and Os at (0.234, 0.000, 0.715).

The density of states at the Fermi level is 6.906 states/eV/cell. The calculation puts the calculated formation energy at 436 meV/atom.

=====

Record 3
U4C: optimized geometry, PBE.

It has space group Pm-3m (No. 221), with a = 4.657 Å, b = 4.657 Å, c = 4.657 Å, α = 90.00°, β = 90.00° and γ = 90.00°. Symmetry generates all atoms from U at (0.000, 0.000, 0.000), U at (0.000, 0.500, 0.500) and C at (0.500, 0.500, 0.500).

The density of states at the Fermi level is 16.717 states/eV/cell. The calculation puts the calculated formation energy at 350 meV/atom.

=====

Record 4
MnVPt2: optimized geometry, PBE.

It has space group I-42d (No. 122), with a = 3.830 Å, b = 3.830 Å, c = 17.592 Å, α = 90.00°, β = 90.00° and γ = 90.00°. Symmetry generates all atoms from Mn at (0.000, 0.000, 0.000), V at (0.000, 0.000, 0.500) and Pt at (0.249, 0.250, 0.125).

The density of states at the Fermi level is 14.292 states/eV/cell. The calculation puts the calculated formation energy at 24 meV/atom.

=====

Record 5
Ni2Mo2Os: optimized geometry, PBE.

It has space group I4/mmm (No. 139), with a = 3.748 Å, b = 3.748 Å, c = 10.344 Å, α = 90.00°, β = 90.00° and γ = 90.00°. Symmetry generates all atoms from Ni at (0.000, 0.000, 0.101), Mo at (0.000, 0.500, 0.250) and Os at (0.000, 0.000, 0.500).

The density of states at the Fermi level is 13.667 states/eV/cell. The calculation puts the calculated formation energy at 679 meV/atom.

=====

Record 6
Be2Ge2Bi: optimized geometry, PBE.

It has space group I4/mmm (No. 139), with a = 4.170 Å, b = 4.170 Å, c = 10.027 Å, α = 90.00°, β = 90.00° and γ = 90.00°. Symmetry generates all atoms from Be at (0.000, 0.500, 0.250), Ge at (0.000, 0.000, 0.128) and Bi at (0.000, 0.000, 0.500).

The density of states at the Fermi level is 4.723 states/eV/cell. The calculation puts the calculated formation energy at 404 meV/atom.

=====

Record 7
YZr3Cd: optimized geometry, PBE.

It has space group Pm-3m (No. 221), with a = 5.312 Å, b = 5.312 Å, c = 5.312 Å, α = 90.00°, β = 90.00° and γ = 90.00°. Symmetry generates all atoms from Y at (0.000, 0.000, 0.000), Zr at (0.000, 0.500, 0.500) and Cd at (0.500, 0.500, 0.500).

The density of states at the Fermi level is 9.492 states/eV/cell. The calculation puts the calculated formation energy at 889 meV/atom.